[1]
# Tl2NiPtBr GGA-PBE relaxed
# E: -3.05 eV/atom
# formation energy (no corrections): 0.594 eV/atom
data_Tl2NiPtBr
_chemical_formula_sum 'Tl2 Ni1 Pt1 Br1'
_cell_length_a 5.436
_cell_length_b 5.436
_cell_length_c 5.168
_cell_angle_alpha 90.00
_cell_angle_beta 90.00
_cell_angle_gamma 90.00
_symmetry_space_group_name_H-M 'P 4/m m m'
_symmetry_Int_Tables_number 123
_symmetry_space_group_name_Hall '-P 4 2'
loop_
_atom_site_label
_atom_site_fract_x
_atom_site_fract_y
_atom_site_fract_z
Tl1 0.000 0.500 0.000
Ni1 0.000 0.000 0.500
Pt1 0.500 0.500 0.000
Br1 0.500 0.500 0.500


[2]
# Dy7Hg2Ir2 GGA-PBE relaxed
# E: -5.06 eV/atom
data_Dy7Hg2Ir2
_chemical_formula_sum 'Dy14 Hg4 Ir4'
_cell_length_a 8.116
_cell_length_b 10.831
_cell_length_c 7.109
_cell_angle_alpha 90.00
_cell_angle_beta 90.00
_cell_angle_gamma 90.00
_symmetry_space_group_name_H-M 'C m m m'
_symmetry_Int_Tables_number 65
_symmetry_space_group_name_Hall '-C 2 2'
loop_
_atom_site_label
_atom_site_fract_x
_atom_site_fract_y
_atom_site_fract_z
Dy1 0.000 0.000 0.000
Dy2 0.000 0.500 0.244
Dy3 0.250 0.250 0.250
Hg1 0.185 0.000 0.500
Ir1 0.000 0.287 0.000


[3]
# TmGaNiIr GGA-PBE relaxed
# E: -6.09 eV/atom
data_TmGaNiIr
_chemical_formula_sum 'Tm4 Ga4 Ni4 Ir4'
_cell_length_a 6.368
_cell_length_b 6.368
_cell_length_c 6.368
_cell_angle_alpha 90.00
_cell_angle_beta 90.00
_cell_angle_gamma 90.00
_symmetry_space_group_name_H-M 'F -4 3 m'
_symmetry_Int_Tables_number 216
_symmetry_space_group_name_Hall 'F -4 2 3'
loop_
_atom_site_label
_atom_site_fract_x
_atom_site_fract_y
_atom_site_fract_z
Tm1 0.000 0.000 0.000
Ga1 0.000 0.000 0.500
Ni1 0.250 0.250 0.750
Ir1 0.250 0.250 0.250


[4]
# AlFeSiRu GGA-PBE relaxed
# E: -7.27 eV/atom
# offset from the most stable computed form: 4.2 meV per atom
# formation energy (no corrections): -0.539 eV/atom
data_AlFeSiRu
_chemical_formula_sum 'Al1 Fe1 Si1 Ru1'
_cell_length_a 2.918
_cell_length_b 4.069
_cell_length_c 4.084
_cell_angle_alpha 90.00
_cell_angle_beta 90.00
_cell_angle_gamma 90.00
_symmetry_space_group_name_H-M 'P m m m'
_symmetry_Int_Tables_number 47
_symmetry_space_group_name_Hall '-P 2 2'
loop_
_atom_site_label
_atom_site_fract_x
_atom_site_fract_y
_atom_site_fract_z
Al1 0.000 0.000 0.000
Fe1 0.500 0.000 0.500
Si1 0.000 0.500 0.500
Ru1 0.500 0.500 0.000